Entry 1:
Entry from the Alexandria database: a crystal of Mn2PO5 relaxed with PBEsol (meta-GGA SCAN).

Values from the calculation:
Its space group is P2_1/c (14). For the uncorrected formation energy, the calculation gives -2302 meV/atom. Its magnetic moment is 36.000 Bohr magnetons per cell.

a = 6.3033 Å, b = 6.3674 Å, c = 8.4389 Å
α = 101.95°, β = 90.00°, γ = 90.00°
Each line ends with the local moment (μB).
Fractional positions:
Mn: 0.3743 0.9914 0.8436  4.48
Mn: 0.1257 0.4914 0.8436  4.48
Mn: 0.3558 0.2228 0.5117  3.93
Mn: 0.8558 0.2772 0.4883  3.93
Mn: 0.1442 0.7228 0.5117  3.93
Mn: 0.6442 0.7772 0.4883  3.93
Mn: 0.8743 0.5086 0.1564  4.48
Mn: 0.6257 0.0086 0.1564  4.48
P: 0.9063 0.9945 0.7921  0.03
P: 0.5937 0.4945 0.7921  0.03
P: 0.4063 0.5055 0.2079  0.03
P: 0.0937 0.0055 0.2079  0.03
O: 0.7127 0.9903 0.9013  0.05
O: 0.0749 0.1630 0.8628  0.05
O: 0.7873 0.4903 0.9013  0.05
O: 0.4677 0.2772 0.7506  0.06
O: 0.4251 0.6630 0.8628  0.05
O: 0.0323 0.7772 0.7506  0.06
O: 0.1076 0.3716 0.6015  0.02
O: 0.6703 0.5253 0.6214  0.05
O: 0.3924 0.8716 0.6015  0.02
O: 0.8297 0.0253 0.6214  0.05
O: 0.1703 0.9747 0.3786  0.05
O: 0.6076 0.1284 0.3985  0.02
O: 0.3297 0.4747 0.3786  0.05
O: 0.8924 0.6284 0.3985  0.02
O: 0.9677 0.2228 0.2494  0.06
O: 0.5749 0.3370 0.1372  0.05
O: 0.5323 0.7228 0.2494  0.06
O: 0.2127 0.5097 0.0987  0.05
O: 0.9251 0.8370 0.1372  0.05
O: 0.2873 0.0097 0.0987  0.05

Entry 2:
Entry from the Alexandria database: a crystal of Mn2PO5 relaxed with PBEsol (meta-GGA SCAN).

Values from the calculation:
Its space group is P-1 (2). For the uncorrected formation energy, the calculation gives -2312 meV/atom. Its magnetic moment is 18.000 Bohr magnetons per cell.

a = 4.9973 Å, b = 6.3513 Å, c = 6.8444 Å
α = 110.07°, β = 102.32°, γ = 103.67°
Each line ends with the local moment (μB).
Fractional positions:
Mn: 0.8381 0.7356 0.3827  4.00
Mn: 0.6375 0.0556 0.7419  4.39
Mn: 0.3625 0.9444 0.2581  4.39
Mn: 0.1619 0.2644 0.6173  4.00
P: 0.8275 0.6166 0.8155  0.03
P: 0.1725 0.3834 0.1845  0.03
O: 0.9252 0.4493 0.2633  0.03
O: 0.7690 0.0439 0.4608  0.02
O: 0.9454 0.7848 0.0623  0.05
O: 0.5841 0.3873 0.7829  0.03
O: 0.6915 0.7351 0.6762  0.07
O: 0.3085 0.2649 0.3238  0.07
O: 0.4159 0.6127 0.2171  0.03
O: 0.0546 0.2152 0.9377  0.05
O: 0.2310 0.9561 0.5392  0.02
O: 0.0748 0.5507 0.7367  0.03

Entry 3:
Entry from the Alexandria database: a crystal of MnP3O9 relaxed with PBEsol (meta-GGA SCAN).

Values from the calculation:
Its space group is P2_12_12_1 (19). For the uncorrected formation energy, the calculation gives -2341 meV/atom. Its magnetic moment is 16.000 Bohr magnetons per cell.

a = 8.2768 Å, b = 8.3203 Å, c = 8.8970 Å
α = 90.00°, β = 90.00°, γ = 90.00°
Each line ends with the local moment (μB).
Fractional positions:
Mn: 0.8602 0.3635 0.3549  3.71
Mn: 0.6398 0.6365 0.8549  3.71
Mn: 0.3602 0.1365 0.6451  3.71
Mn: 0.1398 0.8635 0.1451  3.71
P: 0.6723 0.0061 0.8040  0.01
P: 0.7050 0.6984 0.4455  0.01
P: 0.7950 0.3016 0.9455  0.01
P: 0.8277 0.9939 0.3040  0.01
P: 0.0327 0.3203 0.6941  0.01
P: 0.1723 0.4939 0.1960  0.01
P: 0.2050 0.8016 0.5545  0.01
P: 0.2950 0.1984 0.0545  0.01
P: 0.9673 0.8203 0.8059  0.01
P: 0.4673 0.6797 0.1941  0.01
P: 0.5327 0.1797 0.3059  0.01
P: 0.3277 0.5061 0.6960  0.01
O: 0.6365 0.3175 0.3624  0.01
O: 0.9573 0.2672 0.8511  0.01
O: 0.9073 0.1394 0.3726  0.01
O: 0.9073 0.3826 0.5905  0.04
O: 0.0427 0.7672 0.6489  0.01
O: 0.0927 0.6394 0.1274  0.01
O: 0.0927 0.8826 0.9095  0.04
O: 0.0880 0.4105 0.3238  0.01
O: 0.1365 0.1825 0.6376  0.01
O: 0.1511 0.4611 0.7539  0.01
O: 0.1604 0.8326 0.3963  0.03
O: 0.1876 0.0854 0.1428  0.01
O: 0.2085 0.3718 0.0626  0.00
O: 0.2915 0.6282 0.5626  0.00
O: 0.3124 0.9146 0.6428  0.01
O: 0.3396 0.1674 0.8963  0.03
O: 0.3489 0.5389 0.2539  0.01
O: 0.3635 0.8175 0.1376  0.01
O: 0.4120 0.5895 0.8238  0.01
O: 0.4073 0.1174 0.4095  0.04
O: 0.4073 0.3606 0.6274  0.01
O: 0.4573 0.2328 0.1489  0.01
O: 0.5427 0.7328 0.3511  0.01
O: 0.8635 0.6825 0.8624  0.01
O: 0.5927 0.6174 0.0905  0.04
O: 0.5880 0.0895 0.6762  0.01
O: 0.5927 0.8606 0.8726  0.01
O: 0.6511 0.0389 0.2461  0.01
O: 0.6604 0.6674 0.6037  0.03
O: 0.6876 0.4146 0.8572  0.01
O: 0.7085 0.1282 0.9374  0.00
O: 0.7915 0.8718 0.4374  0.00
O: 0.8124 0.5854 0.3572  0.01
O: 0.8396 0.3326 0.1037  0.03
O: 0.8489 0.9611 0.7461  0.01
O: 0.9120 0.9105 0.1762  0.01

Entry 4:
Entry from the Alexandria database: a crystal of Mn2PO5 relaxed with PBEsol (meta-GGA SCAN).

Values from the calculation:
Its space group is C2/c (15). For the uncorrected formation energy, the calculation gives -2317 meV/atom. Its magnetic moment is 18.000 Bohr magnetons per cell.

a = 5.4854 Å, b = 5.4854 Å, c = 7.2498 Å
α = 66.12°, β = 66.12°, γ = 85.84°
Each line ends with the local moment (μB).
Fractional positions:
Mn: 0.0000 0.5000 0.0000  4.23
Mn: 0.5000 0.5000 0.0000  4.22
Mn: 0.5000 0.5000 0.5000  4.22
Mn: 0.5000 0.0000 0.5000  4.23
P: 0.8750 0.1250 0.7500  0.04
P: 0.1250 0.8750 0.2500  0.04
O: 0.6246 0.3754 0.2500  -0.02
O: 0.3754 0.6246 0.7500  -0.02
O: 0.2006 0.7078 0.1107  0.05
O: 0.1811 0.1887 0.6109  0.05
O: 0.7078 0.2006 0.6107  0.05
O: 0.8113 0.8189 0.8891  0.05
O: 0.1887 0.1811 0.1109  0.05
O: 0.8189 0.8113 0.3891  0.05
O: 0.2922 0.7994 0.3893  0.05
O: 0.7994 0.2922 0.8893  0.05

Entry 5:
Entry from the Alexandria database: a crystal of Mn2PO5 relaxed with PBEsol (meta-GGA SCAN).

Values from the calculation:
Its space group is Pnnm (58). For the uncorrected formation energy, the calculation gives -2344 meV/atom. Its magnetic moment is 36.000 Bohr magnetons per cell.

a = 5.9090 Å, b = 8.2935 Å, c = 8.3879 Å
α = 90.00°, β = 90.00°, γ = 90.00°
Each line ends with the local moment (μB).
Fractional positions:
Mn: 0.7607 0.0000 0.0000  4.04
Mn: 0.2393 0.0000 0.0000  4.04
Mn: 0.0000 0.6471 0.1315  4.35
Mn: 0.5000 0.1471 0.3685  4.35
Mn: 0.7393 0.5000 0.5000  4.04
Mn: 0.2607 0.5000 0.5000  4.04
Mn: 0.5000 0.8529 0.6315  4.35
Mn: 0.0000 0.3529 0.8685  4.35
P: 0.0000 0.2685 0.2463  0.03
P: 0.5000 0.7685 0.2537  0.03
P: 0.5000 0.2315 0.7463  0.03
P: 0.0000 0.7315 0.7537  0.03
O: 0.5000 0.8666 0.0910  0.03
O: 0.0000 0.8724 0.0792  0.02
O: 0.0000 0.3997 0.1140  0.05
O: 0.7860 0.1631 0.2350  0.06
O: 0.2140 0.1631 0.2350  0.06
O: 0.7140 0.6631 0.2650  0.06
O: 0.2860 0.6631 0.2650  0.06
O: 0.5000 0.8997 0.3860  0.05
O: 0.5000 0.3724 0.4208  0.02
O: 0.0000 0.3666 0.4090  0.03
O: 0.0000 0.6334 0.5910  0.03
O: 0.5000 0.6276 0.5792  0.02
O: 0.5000 0.1003 0.6140  0.05
O: 0.7140 0.3369 0.7350  0.06
O: 0.2860 0.3369 0.7350  0.06
O: 0.7860 0.8369 0.7650  0.06
O: 0.2140 0.8369 0.7650  0.06
O: 0.0000 0.6003 0.8860  0.05
O: 0.0000 0.1276 0.9208  0.02
O: 0.5000 0.1334 0.9090  0.03

Entry 6:
Entry from the Alexandria database: a crystal of MnP3O9 relaxed with PBEsol (meta-GGA SCAN).

Values from the calculation:
Its space group is Cc (9). For the uncorrected formation energy, the calculation gives -2326 meV/atom. Its magnetic moment is 8.000 Bohr magnetons per cell.

a = 6.5638 Å, b = 6.5722 Å, c = 9.6662 Å
α = 91.32°, β = 90.00°, γ = 119.96°
Each line ends with the local moment (μB).
Fractional positions:
Mn: 0.3134 0.6665 0.9999  3.71
Mn: 0.3531 0.6665 0.4999  3.71
P: 0.7209 0.9315 0.7360  0.01
P: 0.2106 0.9315 0.2360  0.01
P: 0.7034 0.7826 0.2485  0.01
P: 0.0793 0.7826 0.7485  0.01
P: 0.2281 0.2887 0.7658  0.01
P: 0.0605 0.2887 0.2658  0.01
O: 0.9307 0.7574 0.2359  0.00
O: 0.8267 0.7574 0.7360  0.00
O: 0.5739 0.8952 0.8593  0.04
O: 0.3213 0.8952 0.3593  0.04
O: 0.6128 0.9178 0.5949  0.00
O: 0.3050 0.9178 0.0949  0.00
O: 0.5722 0.7003 0.1135  0.02
O: 0.1281 0.7003 0.6135  0.02
O: 0.5760 0.6529 0.3755  0.01
O: 0.0769 0.6529 0.8755  0.01
O: 0.9513 0.1848 0.7432  0.00
O: 0.2335 0.1848 0.2431  0.00
O: 0.8062 0.0583 0.2711  0.00
O: 0.2520 0.0582 0.7712  0.00
O: 0.3593 0.4325 0.6465  0.04
O: 0.0732 0.4326 0.1465  0.04
O: 0.2983 0.3987 0.9097  0.01
O: 0.1004 0.3987 0.4097  0.01